Version i
Crystalline VCr2Ir at its relaxed geometry. Source: Alexandria via LeMat-Bulk, functional PBE.

It has space group I-42d (No. 122), with a = 3.465 Å, b = 3.465 Å, c = 18.702 Å, α = 90.00°, β = 90.00° and γ = 90.00°. The distinct sites, in fractional coordinates, are V at (0.000, 0.000, 0.000), Cr at (0.210, 0.250, 0.125) and Ir at (0.000, 0.000, 0.500).

=====

Version ii
Crystalline VCr2Ir at its relaxed geometry. Source: Alexandria via LeMat-Bulk, functional PBE.

It has space group P4/mmm (No. 123), with a = 3.687 Å, b = 3.687 Å, c = 3.819 Å, α = 90.00°, β = 90.00° and γ = 90.00°. The distinct sites, in fractional coordinates, are V at (0.000, 0.000, 0.000), Cr at (0.000, 0.500, 0.500) and Ir at (0.500, 0.500, 0.000).

=====

Version iii
Crystalline VCr2Ir at its relaxed geometry. Source: Alexandria via LeMat-Bulk, functional PBE.

It has space group P4/mmm (No. 123), with a = 2.912 Å, b = 2.912 Å, c = 6.059 Å, α = 90.00°, β = 90.00° and γ = 90.00°. The distinct sites, in fractional coordinates, are V at (0.000, 0.000, 0.000), Cr at (0.500, 0.500, 0.229) and Ir at (0.000, 0.000, 0.500).

=====

Version iv
Crystalline VCr2Ir at its relaxed geometry. Source: Alexandria via LeMat-Bulk, functional PBE.

It has space group Fm-3m (No. 225), with a = 5.940 Å, b = 5.940 Å, c = 5.940 Å, α = 90.00°, β = 90.00° and γ = 90.00°. The distinct sites, in fractional coordinates, are V at (0.000, 0.000, 0.000), Cr at (0.250, 0.250, 0.250) and Ir at (0.000, 0.000, 0.500).

=====

Preferred: version iii; penalty for the next structure: 1.2 kJ/mol of atoms.

=====

Version i
Crystalline V3CrIr at its relaxed geometry. Source: Alexandria via LeMat-Bulk, functional PBE.

It has space group Pm-3m (No. 221), with a = 4.211 Å, b = 4.211 Å, c = 4.211 Å, α = 90.00°, β = 90.00° and γ = 90.00°. The distinct sites, in fractional coordinates, are V at (0.000, 0.000, 0.500), Cr at (0.000, 0.000, 0.000) and Ir at (0.500, 0.500, 0.500).

=====

Version ii
Crystalline V3CrIr at its relaxed geometry. Source: Alexandria via LeMat-Bulk, functional PBE.

It has space group Cm (No. 8), with a = 8.412 Å, b = 4.887 Å, c = 7.019 Å, α = 90.00°, β = 113.11° and γ = 90.00°. The distinct sites, in fractional coordinates, are V at (0.000, 0.000, 0.000), V at (0.081, 0.500, 0.244), V at (0.328, 0.251, 0.232), V at (0.465, 0.251, 0.631), Cr at (0.146, 0.500, 0.932), Cr at (0.222, 0.500, 0.637), Ir at (0.149, 0.000, 0.437) and Ir at (0.293, 0.000, 0.866).

=====

Preferred: version ii; penalty for the next structure: 91.4 kJ/mol of atoms.

=====

Version i
Crystalline CrIr4W at its relaxed geometry. Source: Alexandria via LeMat-Bulk, functional PBE.

It has space group C2/m (No. 12), with a = 9.104 Å, b = 2.727 Å, c = 7.660 Å, α = 90.00°, β = 114.82° and γ = 90.00°. The distinct sites, in fractional coordinates, are Cr at (0.000, 0.000, 0.000), Ir at (0.163, 0.500, 0.838), Ir at (0.164, 0.500, 0.325) and W at (0.000, 0.000, 0.500).

=====

Version ii
Crystalline CrIr4W at its relaxed geometry. Source: Alexandria via LeMat-Bulk, functional PBE.

It has space group F-43m (No. 216), with a = 7.238 Å, b = 7.238 Å, c = 7.238 Å, α = 90.00°, β = 90.00° and γ = 90.00°. The distinct sites, in fractional coordinates, are Cr at (0.000, 0.000, 0.000), Ir at (0.125, 0.125, 0.625) and W at (0.250, 0.250, 0.250).

=====

Preferred: version i; penalty for the next structure: 48.6 kJ/mol of atoms.

=====

Version i
Crystalline YCr2Ir2 at its relaxed geometry. Source: Alexandria via LeMat-Bulk, functional PBE.

It has space group P4/mbm (No. 127), with a = 7.548 Å, b = 7.548 Å, c = 2.761 Å, α = 90.00°, β = 90.00° and γ = 90.00°. The distinct sites, in fractional coordinates, are Y at (0.000, 0.000, 0.000), Cr at (0.165, 0.335, 0.500) and Ir at (0.128, 0.628, 0.000).

=====

Version ii
Crystalline YCr2Ir2 at its relaxed geometry. Source: Alexandria via LeMat-Bulk, functional PBE.

It has space group P4/mbm (No. 127), with a = 7.529 Å, b = 7.529 Å, c = 2.765 Å, α = 90.00°, β = 90.00° and γ = 90.00°. The distinct sites, in fractional coordinates, are Y at (0.000, 0.000, 0.000), Cr at (0.108, 0.392, 0.000) and Ir at (0.176, 0.676, 0.500).

=====

Preferred: version ii; penalty for the next structure: 9.8 kJ/mol of atoms.

=====

Version i
Crystalline ZnCrIr at its relaxed geometry. Source: Alexandria via LeMat-Bulk, functional PBE.

It has space group P3m1 (No. 156), with a = 2.6916 Å, b = 2.6916 Å, c = 6.5164 Å, α = 90.00°, β = 90.00° and γ = 120.00°. The distinct sites, in fractional coordinates, are Zn at (0.0000, 0.0000, 0.0000), Cr at (0.6667, 0.3333, 0.3347) and Ir at (0.3333, 0.6667, 0.6426).

=====

Version ii
Crystalline ZnCrIr at its relaxed geometry. Source: Alexandria via LeMat-Bulk, functional PBE.

It has space group Imm2 (No. 44), with a = 2.751 Å, b = 3.613 Å, c = 8.079 Å, α = 90.00°, β = 90.00° and γ = 90.00°. The distinct sites, in fractional coordinates, are Zn at (0.000, 0.000, 0.000), Cr at (0.000, 0.000, 0.673) and Ir at (0.000, 0.000, 0.324).

=====

Preferred: version ii; penalty for the next structure: 3.3 kJ/mol of atoms.

=====

Version i
Crystalline ZnCrIr at its relaxed geometry. Source: Alexandria via LeMat-Bulk, functional PBE.

It has space group I4mm (No. 107), with a = 2.761 Å, b = 2.761 Å, c = 10.631 Å, α = 90.00°, β = 90.00° and γ = 90.00°. The distinct sites, in fractional coordinates, are Zn at (0.000, 0.000, 0.000), Cr at (0.000, 0.000, 0.670) and Ir at (0.000, 0.000, 0.321).

=====

Version ii
Crystalline ZnCrIr at its relaxed geometry. Source: Alexandria via LeMat-Bulk, functional PBE.

It has space group F-43m (No. 216), with a = 5.778 Å, b = 5.778 Å, c = 5.778 Å, α = 90.00°, β = 90.00° and γ = 90.00°. The distinct sites, in fractional coordinates, are Zn at (0.000, 0.000, 0.000), Cr at (0.000, 0.000, 0.500) and Ir at (0.250, 0.250, 0.250).

=====

Preferred: version i; penalty for the next structure: 33.6 kJ/mol of atoms.